# 1
Entry from Alexandria: an optimized crystal structure of ZrRuIN2 (PBE).

```
5
Lattice="4.136 0.000 0.000 0.000 4.136 0.000 0.000 0.000 6.095" Properties=species:S:1:pos:R:3 pbc="T T T"
I 0.000 0.000 3.047
Ru 2.068 2.068 3.047
Zr 0.000 0.000 0.000
N 0.000 2.068 0.000
N 2.068 0.000 0.000
```

Energy above the lowest structure with this stoichiometry (eV per atom): 0.000
SG: P4/mmm
M_tot (μB per cell): 3.30

***

# 2
Entry from Alexandria: an optimized crystal structure of ZrRuIN2 (PBE).

```
5
Lattice="3.984 0.000 0.000 0.000 3.984 0.000 0.000 0.000 5.385" Properties=species:S:1:pos:R:3 pbc="T T T"
I 0.000 0.000 2.693
Ru 0.000 0.000 0.000
Zr 1.992 1.992 2.693
N 0.000 1.992 0.000
N 1.992 0.000 0.000
```

Energy above the lowest structure with this stoichiometry (eV per atom): 0.035
SG: P4/mmm
M_tot (μB per cell): 0.50